# LaCoSi2Ru | the Alexandria database | GGA-PBE | optimized geometry
data_LaCoSi2Ru
_chemical_formula_sum 'La1 Co1 Si2 Ru1'
_symmetry_space_group_name_H-M 'P 1'
_symmetry_Int_Tables_number 1
_cell_length_a 4.102
_cell_length_b 4.102
_cell_length_c 5.842
_cell_angle_alpha 110.55
_cell_angle_beta 110.55
_cell_angle_gamma 90.00
loop_
_symmetry_equiv_pos_as_xyz
'x,y,z'
loop_
_atom_site_label
_atom_site_fract_x
_atom_site_fract_y
_atom_site_fract_z
La1 0.000 0.000 0.000
Co1 0.750 0.250 0.500
Si1 0.636 0.636 0.272
Si2 0.364 0.364 0.728
Ru1 0.250 0.750 0.500
# Energy relative to the elements, uncorrected ... -0.81 eV/atom
# N(E_F) ... 3.23 states/eV/cell

---

# LaSmCoRu | the Alexandria database | GGA-PBE | optimized geometry
data_LaSmCoRu
_chemical_formula_sum 'La1 Sm1 Co1 Ru1'
_symmetry_space_group_name_H-M 'P 1'
_symmetry_Int_Tables_number 1
_cell_length_a 4.950
_cell_length_b 4.950
_cell_length_c 4.950
_cell_angle_alpha 60.00
_cell_angle_beta 60.00
_cell_angle_gamma 60.00
loop_
_symmetry_equiv_pos_as_xyz
'x,y,z'
loop_
_atom_site_label
_atom_site_fract_x
_atom_site_fract_y
_atom_site_fract_z
Ru1 0.750 0.750 0.750
Co1 0.250 0.250 0.250
Sm1 0.000 0.000 0.000
La1 0.500 0.500 0.500
# Energy of formation ... -0.04 eV per atom
# N(E_F) ... 4.64 states/eV/cell

---

# LaTbCoRu | the Alexandria database | GGA-PBE | optimized geometry
data_LaTbCoRu
_chemical_formula_sum 'La1 Tb1 Co1 Ru1'
_symmetry_space_group_name_H-M 'P 1'
_symmetry_Int_Tables_number 1
_cell_length_a 4.895
_cell_length_b 4.895
_cell_length_c 4.895
_cell_angle_alpha 60.00
_cell_angle_beta 60.00
_cell_angle_gamma 60.00
loop_
_symmetry_equiv_pos_as_xyz
'x,y,z'
loop_
_atom_site_label
_atom_site_fract_x
_atom_site_fract_y
_atom_site_fract_z
Ru1 0.750 0.750 0.750
Co1 0.250 0.250 0.250
Tb1 0.500 0.500 0.500
La1 0.000 0.000 0.000
# Energy of formation ... -0.09 eV per atom
# N(E_F) ... 3.41 states/eV/cell

---

Number 1: mass density 6.91 g/cm³. Number 2: mass density 8.70 g/cm³. Number 3: mass density 9.17 g/cm³.